Material: BaMoBrO4
Method: DFT, GGA+U
State: relaxed

CIF file:
```
data_BaMoBrO4
_chemical_formula_sum 'Ba4 Mo4 Br4 O16'
_cell_length_a 13.558
_cell_length_b 6.669
_cell_length_c 7.228
_cell_angle_alpha 90.00
_cell_angle_beta 112.06
_cell_angle_gamma 90.00
_symmetry_space_group_name_H-M 'C 1 2/m 1'
_symmetry_Int_Tables_number 12
_symmetry_space_group_name_Hall '-C 2y'
loop_
_atom_site_label
_atom_site_type_symbol
_atom_site_fract_x
_atom_site_fract_y
_atom_site_fract_z
_atom_site_occupancy
Ba1 Ba 0.175 0.000 0.265 1
Mo1 Mo 0.156 0.000 0.747 1
Br1 Br 0.028 0.500 0.172 1
O1 O 0.039 0.000 0.808 1
O2 O 0.168 0.213 0.601 1
O3 O 0.236 0.500 0.018 1
```

The total energy comes out at -174.2 eV for the cell shown.